# Ce6VO12, relaxed, DFT GGA+U
data_Ce6VO12
_chemical_formula_sum 'Ce18 V3 O36'
_cell_length_a 10.1068
_cell_length_b 10.1068
_cell_length_c 9.5193
_cell_angle_alpha 90.00
_cell_angle_beta 90.00
_cell_angle_gamma 120.00
_symmetry_space_group_name_H-M 'R -3'
_symmetry_Int_Tables_number 148
_symmetry_space_group_name_Hall '-R 3'
loop_
_atom_site_label
_atom_site_fract_x
_atom_site_fract_y
_atom_site_fract_z
Ce1 0.0526 0.7927 0.1589
V1 0.0000 0.0000 0.5000
O1 0.0355 0.8116 0.9005
O2 0.0395 0.8388 0.3939
# Energy = -8.670 eV/atom
# Spin magnetization = 5.2 μB/f.u.